Record 1
VASP calculation (PBE) on Th2HgGeIr after structural relaxation.

Calculated values
formation energy from the elements	-0.561	eV per atom
magnetization	0.000	μB/f.u.
D(E_F)	4.2	states/eV/f.u.

Cell: 7.6285 4.2907 8.7036 Å, 90.00 115.87 90.00°
Space group P2_1/m (No. 11)
Inequivalent atoms, fractional coordinates:
Th  0.1972  0.2500  0.3495 (multiplicity 2)
Th  0.2891  0.2500  0.9703 (multiplicity 2)
Hg  0.2448  0.7500  0.6673 (multiplicity 2)
Ge  0.4821  0.7500  0.2835 (multiplicity 2)
Ir  0.1192  0.7500  0.0961 (multiplicity 2)

***

Record 2
VASP calculation (PBE) on K2Hg2Ge after structural relaxation.

Calculated values
formation energy from the elements	-0.091	eV per atom
E above lowest polymorph	0.000	eV per atom
magnetization	0.000	μB/f.u.
D(E_F)	1.6	states/eV/f.u.

Cell: 7.5847 7.5847 5.6011 Å, 90.00 90.00 90.00°
Space group P4/mbm (No. 127)
Inequivalent atoms, fractional coordinates:
K  0.1764  0.3236  0.0000 (multiplicity 4)
Hg  0.1459  0.6459  0.5000 (multiplicity 4)
Ge  0.0000  0.0000  0.5000 (multiplicity 2)

***

Record 3
VASP calculation (PBE) on KHg2Ge2 after structural relaxation.

Calculated values
formation energy from the elements	-0.046	eV per atom
E above lowest polymorph	0.000	eV per atom
magnetization	0.000	μB/f.u.
D(E_F)	1.5	states/eV/f.u.

Cell: 4.8740 4.8740 11.0622 Å, 90.00 90.00 90.00°
Space group I4/mmm (No. 139)
Inequivalent atoms, fractional coordinates:
K  0.0000  0.0000  0.0000 (multiplicity 2)
Hg  0.0000  0.5000  0.2500 (multiplicity 4)
Ge  0.0000  0.0000  0.3869 (multiplicity 4)

***

Record 4
VASP calculation (PBE) on KHg3Ge after structural relaxation.

Calculated values
formation energy from the elements	0.620	eV per atom
E above lowest polymorph	0.658	eV per atom
magnetization	2.874	μB/f.u.
D(E_F)	4.6	states/eV/f.u.

Cell: 6.4232 6.4232 6.4232 Å, 90.00 90.00 90.00°
Space group Pm-3m (No. 221)
Inequivalent atoms, fractional coordinates:
K  0.0000  0.0000  0.0000 (multiplicity 1)
Hg  0.0000  0.0000  0.5000 (multiplicity 3)
Ge  0.5000  0.5000  0.5000 (multiplicity 1)

***

Record 5
VASP calculation (PBE) on KHg2Ge2 after structural relaxation.

Calculated values
formation energy from the elements	0.103	eV per atom
E above lowest polymorph	0.149	eV per atom
magnetization	0.000	μB/f.u.
D(E_F)	2.2	states/eV/f.u.

Cell: 8.6835 8.6835 3.3308 Å, 90.00 90.00 90.00°
Space group P4/mbm (No. 127)
Inequivalent atoms, fractional coordinates:
K  0.0000  0.0000  0.0000 (multiplicity 2)
Hg  0.1656  0.3344  0.5000 (multiplicity 4)
Ge  0.1233  0.6233  0.0000 (multiplicity 4)

***

Record 6
VASP calculation (PBE) on K2Hg2Ge after structural relaxation.

Calculated values
formation energy from the elements	0.117	eV per atom
E above lowest polymorph	0.208	eV per atom
magnetization	0.000	μB/f.u.
D(E_F)	1.1	states/eV/f.u.

Cell: 9.8923 9.8923 3.4407 Å, 90.00 90.00 90.00°
Space group P4/mbm (No. 127)
Inequivalent atoms, fractional coordinates:
K  0.1855  0.3145  0.0000 (multiplicity 4)
Hg  0.1098  0.6098  0.5000 (multiplicity 4)
Ge  0.0000  0.0000  0.0000 (multiplicity 2)

***

What did the first record say?
VASP calculation (PBE) on Th2HgGeIr after structural relaxation.

Calculated values
formation energy from the elements	-0.561	eV per atom
magnetization	0.000	μB/f.u.
D(E_F)	4.2	states/eV/f.u.

Cell: 7.6285 4.2907 8.7036 Å, 90.00 115.87 90.00°
Space group P2_1/m (No. 11)
Inequivalent atoms, fractional coordinates:
Th  0.1972  0.2500  0.3495 (multiplicity 2)
Th  0.2891  0.2500  0.9703 (multiplicity 2)
Hg  0.2448  0.7500  0.6673 (multiplicity 2)
Ge  0.4821  0.7500  0.2835 (multiplicity 2)
Ir  0.1192  0.7500  0.0961 (multiplicity 2)

***

What did the sixth record say?
VASP calculation (PBE) on K2Hg2Ge after structural relaxation.

Calculated values
formation energy from the elements	0.117	eV per atom
E above lowest polymorph	0.208	eV per atom
magnetization	0.000	μB/f.u.
D(E_F)	1.1	states/eV/f.u.

Cell: 9.8923 9.8923 3.4407 Å, 90.00 90.00 90.00°
Space group P4/mbm (No. 127)
Inequivalent atoms, fractional coordinates:
K  0.1855  0.3145  0.0000 (multiplicity 4)
Hg  0.1098  0.6098  0.5000 (multiplicity 4)
Ge  0.0000  0.0000  0.0000 (multiplicity 2)

***

Question: Number 6 is which compound?
Answer: K2Hg2Ge